(1)
DFT (GGA-PBE) results for a geometry-optimized In2AgS4 structure.

M_tot ... 0.00 μB/f.u.
ΔE_f (raw) ... -345 meV per atom
SG ... Imma

a b c (Å): 7.707 7.707 7.707
angles (deg): 119.91 119.83 90.22
Fractional positions:
In (0.000, 0.000, 0.000)
In (0.500, 0.000, 0.000)
In (0.500, 0.000, 0.500)
In (0.500, 0.500, 0.500)
Ag (0.125, 0.375, 0.750)
Ag (0.875, 0.625, 0.250)
S (0.257, 0.241, 0.484)
S (0.257, 0.773, 0.016)
S (0.259, 0.243, 0.016)
S (0.273, 0.757, 0.516)
S (0.727, 0.243, 0.484)
S (0.741, 0.757, 0.984)
S (0.743, 0.227, 0.984)
S (0.743, 0.759, 0.516)



(2)
DFT (GGA-PBE) results for a geometry-optimized InAgS3 structure.

M_tot ... 0.00 μB/f.u.
ΔE_f (raw) ... 535 meV per atom
Excess energy over the best structure of this formula in the dataset ... 13.02 kcal/mol of atoms
SG ... Pm-3m

a b c (Å): 4.868 4.868 4.868
angles (deg): 90.00 90.00 90.00
Fractional positions:
In (0.000, 0.000, 0.000)
Ag (0.500, 0.500, 0.500)
S (0.000, 0.500, 0.500)
S (0.500, 0.000, 0.500)
S (0.500, 0.500, 0.000)



(3)
DFT (GGA-PBE) results for a geometry-optimized In5AgS8 structure.

M_tot ... 0.00 μB/f.u.
ΔE_f (raw) ... -518 meV per atom
SG ... F-43m

a b c (Å): 7.763 7.763 7.763
angles (deg): 60.00 60.00 60.00
Fractional positions:
In (0.000, 0.000, 0.000)
In (0.381, 0.381, 0.381)
In (0.381, 0.381, 0.857)
In (0.381, 0.857, 0.381)
In (0.857, 0.381, 0.381)
Ag (0.750, 0.750, 0.750)
S (0.134, 0.134, 0.134)
S (0.134, 0.134, 0.597)
S (0.134, 0.597, 0.134)
S (0.147, 0.618, 0.618)
S (0.597, 0.134, 0.134)
S (0.618, 0.147, 0.618)
S (0.618, 0.618, 0.147)
S (0.618, 0.618, 0.618)